Entry 1:
A plane-wave DFT calculation with GGA-PBE was carried out for a relaxed LaTbMnAg crystal.

Cell lengths 7.398, 7.398, 7.398 Å; angles 90.00, 90.00, 90.00 degrees
Element x y z (fractional)
La 0.000 0.000 0.000
La 0.000 0.500 0.500
La 0.500 0.000 0.500
La 0.500 0.500 0.000
Tb 0.000 0.000 0.500
Tb 0.000 0.500 0.000
Tb 0.500 0.000 0.000
Tb 0.500 0.500 0.500
Mn 0.250 0.250 0.250
Mn 0.250 0.750 0.750
Mn 0.750 0.250 0.750
Mn 0.750 0.750 0.250
Ag 0.250 0.250 0.750
Ag 0.250 0.750 0.250
Ag 0.750 0.250 0.250
Ag 0.750 0.750 0.750

Properties
Calculated total energy = -5.36 eV per atom


Entry 2:
A plane-wave DFT calculation with GGA-PBE was carried out for a relaxed LaMn2AgTe crystal.

Cell lengths 5.487, 5.487, 5.996 Å; angles 90.00, 90.00, 90.00 degrees
Element x y z (fractional)
La 0.000 0.000 0.000
Mn 0.000 0.500 0.000
Mn 0.500 0.000 0.000
Ag 0.500 0.500 0.500
Te 0.000 0.000 0.500

Properties
Formation energy without anion corrections = 1187.7 meV per atom
Calculated total energy = -4.66 eV per atom


Entry 3:
A plane-wave DFT calculation with GGA-PBE was carried out for a relaxed LaMnAg2W crystal.

Cell lengths 5.254, 5.254, 5.062 Å; angles 90.00, 90.00, 90.00 degrees
Element x y z (fractional)
La 0.000 0.000 0.000
Mn 0.500 0.500 0.000
Ag 0.000 0.500 0.500
Ag 0.500 0.000 0.500
W 0.000 0.000 0.500

Properties
Calculated total energy = -5.20 eV per atom


Entry 4:
A plane-wave DFT calculation with GGA-PBE was carried out for a relaxed LaAgMo4 crystal.

Cell lengths 5.479, 5.479, 5.479 Å; angles 60.00, 60.00, 60.00 degrees
Element x y z (fractional)
La 0.000 0.000 0.000
Ag 0.250 0.250 0.250
Mo 0.125 0.625 0.625
Mo 0.625 0.125 0.625
Mo 0.625 0.625 0.125
Mo 0.625 0.625 0.625

Properties
Calculated total energy = -7.99 eV per atom


Entry 5:
A plane-wave DFT calculation with GGA-PBE was carried out for a relaxed LaAg3Mo crystal.

Cell lengths 5.092, 5.092, 5.092 Å; angles 90.00, 90.00, 90.00 degrees
Element x y z (fractional)
La 0.000 0.000 0.000
Ag 0.000 0.500 0.500
Ag 0.500 0.000 0.500
Ag 0.500 0.500 0.000
Mo 0.500 0.500 0.500

Properties
Calculated total energy = -4.06 eV per atom
Offset from the most stable computed form = 0.00 kJ/mol of atoms


Entry 6:
A plane-wave DFT calculation with GGA-PBE was carried out for a relaxed LaAgMo2 crystal.

Cell lengths 3.190, 3.190, 28.543 Å; angles 90.00, 90.00, 120.00 degrees
Element x y z (fractional)
La 0.000 0.000 0.000
La 0.333 0.667 0.667
La 0.667 0.333 0.333
Ag 0.000 0.000 0.235
Ag 0.333 0.667 0.901
Ag 0.667 0.333 0.568
Mo 0.000 0.000 0.488
Mo 0.000 0.000 0.761
Mo 0.333 0.667 0.155
Mo 0.333 0.667 0.427
Mo 0.667 0.333 0.094
Mo 0.667 0.333 0.821

Properties
Calculated total energy = -6.88 eV per atom
Offset from the most stable computed form = 20.20 kJ/mol of atoms


Entry 7:
A plane-wave DFT calculation with GGA-PBE was carried out for a relaxed LaAgMo2 crystal.

Cell lengths 3.474, 5.079, 9.606 Å; angles 90.00, 90.00, 90.00 degrees
Element x y z (fractional)
La 0.000 0.000 0.000
La 0.500 0.500 0.500
Ag 0.000 0.500 0.219
Ag 0.500 0.000 0.719
Mo 0.000 0.000 0.447
Mo 0.000 0.500 0.767
Mo 0.500 0.000 0.267
Mo 0.500 0.500 0.947

Properties
Calculated total energy = -6.87 eV per atom
Offset from the most stable computed form = 21.78 kJ/mol of atoms


Entry 8:
A plane-wave DFT calculation with GGA-PBE was carried out for a relaxed LaAg4Mo crystal.

Cell lengths 5.639, 5.639, 5.639 Å; angles 60.00, 60.00, 60.00 degrees
Element x y z (fractional)
La 0.000 0.000 0.000
Ag 0.376 0.376 0.376
Ag 0.376 0.376 0.873
Ag 0.376 0.873 0.376
Ag 0.873 0.376 0.376
Mo 0.750 0.750 0.750

Properties
Calculated total energy = -4.22 eV per atom


Entry 9:
A plane-wave DFT calculation with GGA-PBE was carried out for a relaxed LaAgMo2 crystal.

Cell lengths 10.460, 3.365, 5.400 Å; angles 90.00, 107.70, 90.00 degrees
Element x y z (fractional)
La 0.000 0.000 0.000
La 0.500 0.500 0.000
Ag 0.000 0.500 0.500
Ag 0.500 0.000 0.500
Mo 0.233 0.000 0.648
Mo 0.267 0.500 0.352
Mo 0.733 0.500 0.648
Mo 0.767 0.000 0.352

Properties
Calculated total energy = -6.80 eV per atom
Offset from the most stable computed form = 28.06 kJ/mol of atoms


Entry 10:
A plane-wave DFT calculation with GGA-PBE was carried out for a relaxed LaAgMo2 crystal.

Cell lengths 3.392, 4.745, 4.985 Å; angles 90.00, 90.00, 90.00 degrees
Element x y z (fractional)
La 0.000 0.000 0.000
Ag 0.500 0.500 0.000
Mo 0.000 0.500 0.500
Mo 0.500 0.000 0.500

Properties
Calculated total energy = -6.71 eV per atom
Offset from the most stable computed form = 36.35 kJ/mol of atoms


Entry 11:
A plane-wave DFT calculation with GGA-PBE was carried out for a relaxed LaAgMo2 crystal.

Cell lengths 2.788, 2.788, 9.912 Å; angles 90.00, 90.00, 90.00 degrees
Element x y z (fractional)
La 0.000 0.000 0.000
Ag 0.000 0.000 0.500
Mo 0.500 0.500 0.277
Mo 0.500 0.500 0.723

Properties
Calculated total energy = -6.70 eV per atom
Offset from the most stable computed form = 37.67 kJ/mol of atoms


Entry 12:
A plane-wave DFT calculation with GGA-PBE was carried out for a relaxed LaAgMo2 crystal.

Cell lengths 8.830, 2.831, 6.759 Å; angles 90.00, 92.87, 90.00 degrees
Element x y z (fractional)
La 0.000 0.000 0.000
La 0.500 0.500 0.000
Ag 0.249 0.500 0.317
Ag 0.749 0.000 0.317
Mo 0.245 0.000 0.712
Mo 0.485 0.000 0.541
Mo 0.745 0.500 0.712
Mo 0.985 0.500 0.541

Properties
Calculated total energy = -6.79 eV per atom
Offset from the most stable computed form = 28.87 kJ/mol of atoms


Entry 13:
A plane-wave DFT calculation with GGA-PBE was carried out for a relaxed LaAgMo2 crystal.

Cell lengths 3.274, 4.963, 9.824 Å; angles 90.00, 90.00, 90.00 degrees
Element x y z (fractional)
La 0.000 0.000 0.000
La 0.500 0.500 0.000
Ag 0.000 0.500 0.291
Ag 0.500 0.000 0.291
Mo 0.000 0.000 0.532
Mo 0.000 0.500 0.727
Mo 0.500 0.000 0.727
Mo 0.500 0.500 0.532

Properties
Calculated total energy = -6.98 eV per atom
Offset from the most stable computed form = 11.18 kJ/mol of atoms


Entry 14:
A plane-wave DFT calculation with GGA-PBE was carried out for a relaxed LaAgMo2 crystal.

Cell lengths 4.147, 4.147, 9.431 Å; angles 90.00, 90.00, 90.00 degrees
Element x y z (fractional)
La 0.000 0.000 0.000
La 0.500 0.500 0.500
Ag 0.000 0.000 0.500
Ag 0.500 0.500 0.000
Mo 0.000 0.500 0.250
Mo 0.000 0.500 0.750
Mo 0.500 0.000 0.250
Mo 0.500 0.000 0.750

Properties
Calculated total energy = -6.60 eV per atom
Offset from the most stable computed form = 47.17 kJ/mol of atoms


Entry 15:
A plane-wave DFT calculation with GGA-PBE was carried out for a relaxed LaAgMo2 crystal.

Cell lengths 4.141, 4.141, 20.647 Å; angles 90.00, 90.00, 90.00 degrees
Element x y z (fractional)
La 0.000 0.000 0.000
La 0.000 0.500 0.250
La 0.500 0.000 0.750
La 0.500 0.500 0.500
Ag 0.000 0.000 0.500
Ag 0.000 0.500 0.750
Ag 0.500 0.000 0.250
Ag 0.500 0.500 0.000
Mo 0.178 0.250 0.625
Mo 0.250 0.678 0.875
Mo 0.250 0.822 0.375
Mo 0.322 0.250 0.125
Mo 0.678 0.750 0.125
Mo 0.750 0.178 0.375
Mo 0.750 0.322 0.875
Mo 0.822 0.750 0.625

Properties
Calculated total energy = -6.54 eV per atom
Offset from the most stable computed form = 53.21 kJ/mol of atoms


Entry 16:
A plane-wave DFT calculation with GGA-PBE was carried out for a relaxed LaAgMo2 crystal.

Cell lengths 5.829, 10.069, 2.820 Å; angles 90.00, 109.52, 90.00 degrees
Element x y z (fractional)
La 0.000 0.000 0.000
La 0.500 0.500 0.000
Ag 0.000 0.500 0.000
Ag 0.500 0.000 0.000
Mo 0.250 0.250 0.500
Mo 0.250 0.750 0.500
Mo 0.750 0.250 0.500
Mo 0.750 0.750 0.500

Properties
Calculated total energy = -6.70 eV per atom
Offset from the most stable computed form = 37.29 kJ/mol of atoms


Entry 17:
A plane-wave DFT calculation with GGA-PBE was carried out for a relaxed LaAgMo2 crystal.

Cell lengths 6.830, 6.830, 6.830 Å; angles 90.00, 90.00, 90.00 degrees
Element x y z (fractional)
La 0.000 0.000 0.000
La 0.000 0.500 0.500
La 0.500 0.000 0.500
La 0.500 0.500 0.000
Ag 0.250 0.250 0.750
Ag 0.250 0.750 0.250
Ag 0.750 0.250 0.250
Ag 0.750 0.750 0.750
Mo 0.000 0.000 0.500
Mo 0.000 0.500 0.000
Mo 0.250 0.250 0.250
Mo 0.250 0.750 0.750
Mo 0.500 0.000 0.000
Mo 0.500 0.500 0.500
Mo 0.750 0.250 0.750
Mo 0.750 0.750 0.250

Properties
Calculated total energy = -6.80 eV per atom
Offset from the most stable computed form = 27.64 kJ/mol of atoms


Entry 18:
A plane-wave DFT calculation with GGA-PBE was carried out for a relaxed LaAg3Mo crystal.

Cell lengths 5.286, 5.286, 5.286 Å; angles 90.00, 90.00, 90.00 degrees
Element x y z (fractional)
La 0.000 0.000 0.000
Ag 0.000 0.000 0.500
Ag 0.000 0.500 0.000
Ag 0.500 0.000 0.000
Mo 0.500 0.500 0.500

Properties
Calculated total energy = -2.90 eV per atom
Offset from the most stable computed form = 111.34 kJ/mol of atoms


Entry 19:
A plane-wave DFT calculation with GGA-PBE was carried out for a relaxed LaAgMo2 crystal.

Cell lengths 2.762, 4.519, 6.531 Å; angles 90.00, 90.00, 90.00 degrees
Element x y z (fractional)
La 0.000 0.000 0.000
Ag 0.000 0.000 0.500
Mo 0.500 0.500 0.308
Mo 0.500 0.500 0.692

Properties
Calculated total energy = -6.66 eV per atom
Offset from the most stable computed form = 41.68 kJ/mol of atoms


Entry 20:
A plane-wave DFT calculation with GGA-PBE was carried out for a relaxed LaAgMo2 crystal.

Cell lengths 5.858, 9.717, 2.753 Å; angles 90.00, 90.00, 90.00 degrees
Element x y z (fractional)
La 0.000 0.000 0.000
La 0.500 0.500 0.000
Ag 0.000 0.500 0.000
Ag 0.500 0.000 0.000
Mo 0.250 0.250 0.500
Mo 0.250 0.750 0.500
Mo 0.750 0.250 0.500
Mo 0.750 0.750 0.500

Properties
Calculated total energy = -6.62 eV per atom
Offset from the most stable computed form = 45.30 kJ/mol of atoms


Entry 21:
A plane-wave DFT calculation with GGA-PBE was carried out for a relaxed LaAgMo2 crystal.

Cell lengths 6.714, 6.714, 6.714 Å; angles 90.00, 90.00, 90.00 degrees
Element x y z (fractional)
La 0.000 0.000 0.000
La 0.000 0.500 0.500
La 0.500 0.000 0.500
La 0.500 0.500 0.000
Ag 0.000 0.000 0.500
Ag 0.000 0.500 0.000
Ag 0.500 0.000 0.000
Ag 0.500 0.500 0.500
Mo 0.250 0.250 0.250
Mo 0.250 0.250 0.750
Mo 0.250 0.750 0.250
Mo 0.250 0.750 0.750
Mo 0.750 0.250 0.250
Mo 0.750 0.250 0.750
Mo 0.750 0.750 0.250
Mo 0.750 0.750 0.750

Properties
Calculated total energy = -6.49 eV per atom
Offset from the most stable computed form = 57.78 kJ/mol of atoms


Entry 22:
A plane-wave DFT calculation with GGA-PBE was carried out for a relaxed LaAgMo2 crystal.

Cell lengths 3.274, 5.116, 5.003 Å; angles 90.00, 92.77, 90.00 degrees
Element x y z (fractional)
La 0.000 0.000 0.000
Ag 0.500 0.000 0.500
Mo 0.301 0.500 0.791
Mo 0.699 0.500 0.209

Properties
Calculated total energy = -6.72 eV per atom
Offset from the most stable computed form = 35.79 kJ/mol of atoms


Entry 23:
A plane-wave DFT calculation with GGA-PBE was carried out for a relaxed LaAgMo2 crystal.

Cell lengths 3.433, 4.786, 9.747 Å; angles 90.00, 90.00, 90.00 degrees
Element x y z (fractional)
La 0.000 0.000 0.000
La 0.500 0.500 0.500
Ag 0.000 0.000 0.500
Ag 0.500 0.500 0.000
Mo 0.000 0.500 0.247
Mo 0.000 0.500 0.753
Mo 0.500 0.000 0.253
Mo 0.500 0.000 0.747

Properties
Calculated total energy = -6.66 eV per atom
Offset from the most stable computed form = 41.76 kJ/mol of atoms


Entry 24:
A plane-wave DFT calculation with GGA-PBE was carried out for a relaxed LaAgMo2 crystal.

Cell lengths 3.265, 3.265, 7.812 Å; angles 90.00, 90.00, 90.00 degrees
Element x y z (fractional)
La 0.000 0.000 0.000
Ag 0.500 0.500 0.686
Mo 0.000 0.000 0.450
Mo 0.500 0.500 0.289

Properties
Calculated total energy = -7.09 eV per atom
Offset from the most stable computed form = 0.00 kJ/mol of atoms


Entry 25:
A plane-wave DFT calculation with GGA-PBE was carried out for a relaxed LaAgMoPd2 crystal.

Cell lengths 4.851, 4.851, 5.131 Å; angles 90.00, 90.00, 90.00 degrees
Element x y z (fractional)
La 0.000 0.000 0.000
Ag 0.500 0.500 0.000
Mo 0.500 0.500 0.500
Pd 0.000 0.500 0.500
Pd 0.500 0.000 0.500

Properties
Calculated total energy = -5.39 eV per atom


Entry 26:
A plane-wave DFT calculation with GGA-PBE was carried out for a relaxed LaAg3N crystal.

Cell lengths 6.054, 6.054, 6.054 Å; angles 90.00, 90.00, 90.00 degrees
Element x y z (fractional)
La 0.000 0.000 0.000
Ag 0.000 0.000 0.500
Ag 0.000 0.500 0.000
Ag 0.500 0.000 0.000
N 0.500 0.500 0.500

Properties
Formation energy without anion corrections = 1819.9 meV per atom
Calculated total energy = -2.54 eV per atom
Offset from the most stable computed form = 131.11 kJ/mol of atoms


Entry 27:
A plane-wave DFT calculation with GGA-PBE was carried out for a relaxed La4AgN crystal.

Cell lengths 9.557, 7.252, 5.402 Å; angles 90.00, 90.00, 90.00 degrees
Element x y z (fractional)
La 0.000 0.107 0.000
La 0.000 0.797 0.500
La 0.202 0.293 0.500
La 0.298 0.707 0.000
La 0.500 0.203 0.000
La 0.500 0.893 0.500
La 0.702 0.707 0.000
La 0.798 0.293 0.500
Ag 0.000 0.527 0.000
Ag 0.500 0.473 0.500
N 0.000 0.115 0.498
N 0.500 0.885 0.998

Properties
Formation energy without anion corrections = -482.3 meV per atom
Calculated total energy = -5.63 eV per atom


Entry 28:
A plane-wave DFT calculation with GGA-PBE was carried out for a relaxed LaAg3N crystal.

Cell lengths 4.648, 4.648, 4.648 Å; angles 90.00, 90.00, 90.00 degrees
Element x y z (fractional)
La 0.000 0.000 0.000
Ag 0.000 0.500 0.500
Ag 0.500 0.000 0.500
Ag 0.500 0.500 0.000
N 0.500 0.500 0.500

Properties
Formation energy without anion corrections = 461.0 meV per atom
Calculated total energy = -3.90 eV per atom
Offset from the most stable computed form = 0.00 kJ/mol of atoms


Entry 29:
A plane-wave DFT calculation with GGA-PBE was carried out for a relaxed La2AgN2 crystal.

Cell lengths 4.220, 4.220, 13.641 Å; angles 90.00, 90.00, 90.00 degrees
Element x y z (fractional)
La 0.000 0.000 0.169
La 0.000 0.000 0.831
La 0.500 0.500 0.331
La 0.500 0.500 0.669
Ag 0.000 0.000 0.500
Ag 0.500 0.500 0.000
N 0.000 0.500 0.250
N 0.000 0.500 0.750
N 0.500 0.000 0.250
N 0.500 0.000 0.750

Properties
Formation energy without anion corrections = -719.0 meV per atom
Calculated total energy = -6.59 eV per atom